First-principles (PBE-GGA) data for a relaxed structure of InHg2I, as listed in the Alexandria database.

Calculated values
DOS(E_F) = 0.05 states/eV/atom
mass density = 7.5 Mg/m³
size of the total moment = 0.000 Bohr magnetons per cell
uncorrected formation energy = -0.1916 eV/atom

Cell: 7.4899 6.5150 6.5146 Å, 90.00 115.79 90.00°
Positions (direct):
Hg 0.8233 0.7503 0.6077
Hg 0.8233 0.2497 0.6077
Hg 0.8233 0.7497 0.1077
In 0.4529 0.0000 0.6738
I 0.2853 0.5000 0.5907
Hg 0.8233 0.2503 0.1077
I 0.2853 0.0000 0.0907
In 0.4529 0.5000 0.1738

---

First-principles (PBE-GGA) data for a relaxed structure of InHg3I3, as listed in the Alexandria database.

Calculated values
mass density = 5.9 Mg/m³
size of the total moment = 0.000 Bohr magnetons per cell
uncorrected formation energy = -0.2358 eV/atom

Cell: 8.6497 10.8663 9.0801 Å, 54.82 68.45 64.58°
Positions (direct):
Hg 0.8269 0.6713 0.0862
Hg 0.1731 0.3287 0.9138
I 0.2768 0.9676 0.5073
I 0.7232 0.0324 0.4927
In 0.3367 0.3525 0.3591
Hg 0.9633 0.1982 0.2272
In 0.6633 0.6475 0.6409
I 0.1215 0.5991 0.5645
I 0.5064 0.6728 0.0355
Hg 0.6676 0.9198 0.1893
I 0.8785 0.4009 0.4355
Hg 0.3324 0.0802 0.8107
Hg 0.0367 0.8018 0.7728
I 0.4936 0.3272 0.9645

---

First-principles (PBE-GGA) data for a relaxed structure of InHgI2, as listed in the Alexandria database.

Calculated values
mass density = 5.4 Mg/m³
size of the total moment = 0.000 Bohr magnetons per cell
uncorrected formation energy = -0.3087 eV/atom

Cell: 4.4411 8.6421 10.7978 Å, 110.25 114.07 90.03°
Positions (direct):
I 0.3500 0.6351 0.3768
In 0.0421 0.4810 0.5708
Hg 0.9924 0.7633 0.0160
Hg 0.0957 0.2005 0.1263
In 0.5407 0.9809 0.5708
I 0.8554 0.0444 0.3834
I 0.7349 0.3270 0.7647
I 0.2285 0.9177 0.7582

---

First-principles (PBE-GGA) data for a relaxed structure of InHgI2, as listed in the Alexandria database.

Calculated values
DOS(E_F) = 0.43 states/eV/atom
mass density = 5.9 Mg/m³
size of the total moment = 0.000 Bohr magnetons per cell
uncorrected formation energy = -0.2469 eV/atom

Cell: 8.2451 4.8973 8.0563 Å, 90.00 101.89 90.00°
Positions (direct):
Hg 0.5000 0.0000 0.0000
I 0.7665 0.5000 0.2687
I 0.7665 0.0000 0.7687
I 0.2335 0.0000 0.2313
I 0.2335 0.5000 0.7313
Hg 0.5000 0.5000 0.5000
In 0.0000 0.5000 0.0000
In 0.0000 0.0000 0.5000

---

First-principles (PBE-GGA) data for a relaxed structure of In6HgI12, as listed in the Alexandria database.

Calculated values
DOS(E_F) = 0.15 states/eV/atom
mass density = 4.9 Mg/m³
size of the total moment = 0.000 Bohr magnetons per cell
uncorrected formation energy = -0.3991 eV/atom

Cell: 9.9626 9.9626 9.9626 Å, 107.45 107.45 107.45°
Positions (direct):
I 0.7633 0.9234 0.3056
I 0.4623 0.1574 0.3964
I 0.5377 0.8426 0.6036
In 0.2624 0.4111 0.8021
In 0.1979 0.7376 0.5889
I 0.6036 0.5377 0.8426
In 0.5889 0.1979 0.7376
I 0.6944 0.2367 0.0766
I 0.3964 0.4623 0.1574
I 0.1574 0.3964 0.4623
I 0.0766 0.6944 0.2367
In 0.4111 0.8021 0.2624
In 0.7376 0.5889 0.1979
I 0.3056 0.7633 0.9234
I 0.9234 0.3056 0.7633
In 0.8021 0.2624 0.4111
I 0.8426 0.6036 0.5377
Hg 0.0000 0.0000 0.0000
I 0.2367 0.0766 0.6944

---

First-principles (PBE-GGA) data for a relaxed structure of In2Hg8I, as listed in the Alexandria database.

Calculated values
DOS(E_F) = 0.21 states/eV/atom
mass density = 9.0 Mg/m³
size of the total moment = 0.000 Bohr magnetons per cell
uncorrected formation energy = -0.0254 eV/atom

Cell: 5.9743 8.3099 8.4052 Å, 60.37 88.41 86.78°
Positions (direct):
In 0.0000 0.2846 0.4307
Hg 0.0192 0.0831 0.2087
Hg 0.2584 0.4959 0.0000
Hg 0.5000 0.7234 0.5532
Hg 0.9808 0.7083 0.2087
Hg 0.7416 0.5041 0.0000
In 0.0000 0.7154 0.5693
Hg 0.9808 0.9169 0.7913
Hg 0.0192 0.2917 0.7913
I 0.5000 0.0000 0.0000
Hg 0.5000 0.2766 0.4468

---

First-principles (PBE-GGA) data for a relaxed structure of InHg2I, as listed in the Alexandria database.

Calculated values
DOS(E_F) = 0.09 states/eV/atom
mass density = 7.6 Mg/m³
size of the total moment = 0.000 Bohr magnetons per cell
uncorrected formation energy = -0.1653 eV/atom

Cell: 6.0881 4.8057 4.8057 Å, 90.00 90.00 90.00°
Positions (direct):
Hg 0.0000 0.0000 0.5000
Hg 0.0000 0.5000 0.0000
I 0.5000 0.5000 0.5000
In 0.5000 0.0000 0.0000

---

First-principles (PBE-GGA) data for a relaxed structure of In2Hg7I2, as listed in the Alexandria database.

Calculated values
mass density = 8.2 Mg/m³
size of the total moment = 0.000 Bohr magnetons per cell
uncorrected formation energy = -0.1439 eV/atom

Cell: 6.6497 6.6497 8.7972 Å, 86.08 86.08 98.86°
Positions (direct):
Hg 0.0000 0.0000 0.0000
I 0.7942 0.2058 0.5000
Hg 0.4782 0.8435 0.8683
Hg 0.3332 0.3332 0.7869
I 0.2058 0.7942 0.5000
Hg 0.1565 0.5218 0.1317
Hg 0.8435 0.4782 0.8683
In 0.2866 0.2866 0.4366
Hg 0.5218 0.1565 0.1317
In 0.7134 0.7134 0.5634
Hg 0.6668 0.6668 0.2131

---

First-principles (PBE-GGA) data for a relaxed structure of InHg2I, as listed in the Alexandria database.

Calculated values
DOS(E_F) = 0.02 states/eV/atom
mass density = 7.4 Mg/m³
size of the total moment = 0.000 Bohr magnetons per cell
uncorrected formation energy = -0.1942 eV/atom

Cell: 6.6394 6.7202 7.6280 Å, 75.86 85.76 61.68°
Positions (direct):
I 0.0837 0.5785 0.0973
Hg 0.3334 0.9681 0.6598
Hg 0.5596 0.1980 0.8651
I 0.7869 0.1179 0.3904
Hg 0.5055 0.8472 0.2420
In 0.2423 0.5832 0.4786
In 0.0343 0.1145 0.0201
Hg 0.8193 0.5124 0.6359

---

First-principles (PBE-GGA) data for a relaxed structure of In2Hg5I4, as listed in the Alexandria database.

Calculated values
DOS(E_F) = 0.11 states/eV/atom
mass density = 6.8 Mg/m³
size of the total moment = 0.000 Bohr magnetons per cell
uncorrected formation energy = -0.1911 eV/atom

Cell: 4.4767 7.8876 11.9646 Å, 88.51 90.00 90.00°
Positions (direct):
I 0.5000 0.4166 0.6663
Hg 0.0000 0.3199 0.3911
In 0.0000 0.1168 0.7441
I 0.5000 0.8717 0.8384
I 0.5000 0.5834 0.3337
Hg 0.0000 0.3234 0.9519
Hg 0.0000 0.0000 0.5000
Hg 0.0000 0.6766 0.0481
Hg 0.0000 0.6801 0.6089
I 0.5000 0.1283 0.1616
In 0.0000 0.8832 0.2559

---

First-principles (PBE-GGA) data for a relaxed structure of InHgI2, as listed in the Alexandria database.

Calculated values
DOS(E_F) = 0.00 states/eV/atom
mass density = 5.1 Mg/m³
size of the total moment = 0.000 Bohr magnetons per cell
uncorrected formation energy = -0.3549 eV/atom

Cell: 7.2570 7.9017 7.8501 Å, 105.40 114.72 101.93°
Positions (direct):
Hg 0.4084 0.5818 0.3621
I 0.2122 0.5527 0.8136
I 0.9182 0.9765 0.9643
I 0.3066 0.0457 0.6485
In 0.2787 0.9373 0.9460
In 0.6563 0.4830 0.7440
I 0.6445 0.1188 0.3262
Hg 0.8936 0.5388 0.2121

---

First-principles (PBE-GGA) data for a relaxed structure of In3Hg4I3, as listed in the Alexandria database.

Calculated values
mass density = 6.9 Mg/m³
size of the total moment = 0.000 Bohr magnetons per cell
uncorrected formation energy = -0.2405 eV/atom

Cell: 9.8661 9.8661 9.8661 Å, 109.47 109.47 109.47°
Positions (direct):
In 0.6250 0.8750 0.2500
Hg 0.1857 0.6857 0.6857
In 0.8750 0.6250 0.7500
Hg 0.6857 0.1857 0.1857
Hg 0.5000 0.8143 0.5000
Hg 0.5000 0.3143 0.5000
I 0.1250 0.3750 0.2500
In 0.2500 0.3750 0.6250
I 0.8750 0.2500 0.6250
In 0.1250 0.7500 0.3750
In 0.3750 0.2500 0.1250
I 0.6250 0.7500 0.8750
Hg 0.0000 0.0000 0.3143
Hg 0.3143 0.5000 0.0000
I 0.7500 0.6250 0.3750
In 0.7500 0.1250 0.8750
Hg 0.8143 0.5000 0.0000
I 0.2500 0.8750 0.1250
Hg 0.0000 0.0000 0.8143
I 0.3750 0.1250 0.7500